Rb2Li2PmCl6 | PBE | relaxed Values from VASP.

```
&SYSTEM
  ibrav = 0, nat = 11, ntyp = 4
/
ATOMIC_SPECIES
Pm 145.00 Pm.upf
Li 6.94 Li.upf
Rb 85.47 Rb.upf
Cl 35.45 Cl.upf
CELL_PARAMETERS angstrom
-1.8304 -3.1769 -5.9730
-3.2500 -1.6510 5.9859
-5.1736 5.4406 -1.3083
ATOMIC_POSITIONS angstrom
Pm 0.0000 0.0000 0.0000
Li -2.7806 -2.1557 1.9987
Rb -4.8906 0.0523 -2.6409
Cl -7.2114 0.6844 -4.9182
Rb -5.3634 0.5604 1.3455
Cl -3.0426 -0.0717 3.6228
Cl -7.5062 1.3315 -1.0617
Cl -4.8783 3.3191 -3.1881
Cl -2.7478 -0.7188 -0.2337
Li -7.4734 2.7684 -3.2941
Cl -5.3757 -2.7064 1.8927
```

Summary:
D(E_F) = 0.283 states/eV per atom
Electronic total energy = -3.766 eV/atom
Energy relative to the elements, uncorrected = -1803 meV/atom
Space group = P-3
M_tot = 0.9 μB per cell

=====

RbLiPm2Cl8 | PBE | relaxed Values from VASP.

```
&SYSTEM
  ibrav = 0, nat = 12, ntyp = 4
/
ATOMIC_SPECIES
Cl 35.45 Cl.upf
Pm 145.00 Pm.upf
Li 6.94 Li.upf
Rb 85.47 Rb.upf
CELL_PARAMETERS angstrom
-3.4057 3.1023 -5.0709
-1.1041 -5.5359 -3.7872
-7.3998 -1.3565 4.1389
ATOMIC_POSITIONS angstrom
Cl -1.4602 -0.7131 -2.8433
Cl -5.2200 -1.4100 -0.8868
Cl -4.4969 1.0322 -4.0162
Cl -10.4494 -3.0770 -1.8758
Pm -7.8775 -2.2474 -1.2843
Cl -6.6896 -2.3801 -3.8323
Li 0.0000 0.0000 0.0000
Rb -3.6999 -0.6783 2.0695
Cl -7.4127 -4.8223 -0.7029
Cl -8.8363 0.2365 -1.5900
Cl -3.0734 -4.0267 -3.1291
Pm -4.0322 -1.5427 -3.4349
```

Summary:
D(E_F) = 0.000 states/eV per atom
Electronic total energy = -4.373 eV/atom
Energy relative to the elements, uncorrected = -2110 meV/atom
Space group = P2/m
M_tot = 0.0 μB per cell

=====

LiPmSCl | PBE | relaxed Values from VASP.

```
&SYSTEM
  ibrav = 0, nat = 8, ntyp = 4
/
ATOMIC_SPECIES
Cl 35.45 Cl.upf
S 32.06 S.upf
Pm 145.00 Pm.upf
Li 6.94 Li.upf
CELL_PARAMETERS angstrom
-3.1854 2.1230 -0.9509
-3.5203 -1.7533 -0.3022
-4.5956 2.5612 12.9326
ATOMIC_POSITIONS angstrom
Cl -2.5405 0.4386 1.3090
S -7.6032 1.2966 3.8228
Pm -6.2339 2.0679 9.1386
Li -3.2661 1.1880 5.4131
Li -8.0352 1.7429 6.2664
S -3.6982 1.6343 7.8567
Cl -8.7608 2.4923 10.3704
Pm -5.0674 0.8630 2.5409
```

Summary:
D(E_F) = 0.486 states/eV per atom
Electronic total energy = -4.868 eV/atom
Energy relative to the elements, uncorrected = -1709 meV/atom
Space group = R-3m
M_tot = 0.0 μB per cell